No. 1
Tm2Ni5P3 | PBE | optimized geometry

Structure (CIF):
```
data_Tm2Ni5P3
_cell_length_a 3.7451
_cell_length_b 23.0172
_cell_length_c 6.6674
_cell_angle_alpha 90.00
_cell_angle_beta 90.00
_cell_angle_gamma 90.00
_space_group_name_H-M_alt 'C m c 21'
_space_group_IT_number 36
_space_group_name_Hall 'C 2c -2'
loop_
_atom_site_label
_atom_site_fract_x
_atom_site_fract_y
_atom_site_fract_z
Tm1 0.0000 0.0489 0.0000
Tm2 0.0000 0.3408 0.1576
Ni1 0.0000 0.0689 0.5894
Ni2 0.0000 0.2119 0.9680
Ni3 0.0000 0.2189 0.3480
Ni4 0.0000 0.3480 0.6589
Ni5 0.0000 0.4439 0.8435
P1 0.0000 0.1221 0.3262
P2 0.0000 0.2524 0.6607
P3 0.0000 0.4691 0.1905
```

Values from the calculation:
Its calculated volume is 14.4 Å³ per atom. As for the total energy: -6.2854 eV per atom. The density is 8.4 g/cm³. Its calculated formation energy is -0.8775 eV/atom.



No. 2
Zn2TcMoPb | PBE | optimized geometry

Structure (CIF):
```
data_Zn2TcMoPb
_cell_length_a 5.0426
_cell_length_b 5.0426
_cell_length_c 4.7029
_cell_angle_alpha 90.00
_cell_angle_beta 90.00
_cell_angle_gamma 90.00
_space_group_name_H-M_alt 'P 4/m m m'
_space_group_IT_number 123
_space_group_name_Hall '-P 4 2'
loop_
_atom_site_label
_atom_site_fract_x
_atom_site_fract_y
_atom_site_fract_z
Zn1 0.0000 0.5000 0.0000
Tc1 0.0000 0.0000 0.0000
Mo1 0.0000 0.0000 0.5000
Pb1 0.5000 0.5000 0.5000
```

Values from the calculation:
Its calculated volume is 23.9 Å³ per atom. As for the total energy: -4.6050 eV per atom. The density is 7.4 g/cm³. Its calculated formation energy is 0.8857 eV/atom.



No. 3
Rb2CaFe | PBE | optimized geometry

Structure (CIF):
```
data_Rb2CaFe
_cell_length_a 9.1006
_cell_length_b 9.1006
_cell_length_c 9.1006
_cell_angle_alpha 90.00
_cell_angle_beta 90.00
_cell_angle_gamma 90.00
_space_group_name_H-M_alt 'F m -3 m'
_space_group_IT_number 225
_space_group_name_Hall '-F 4 2 3'
loop_
_atom_site_label
_atom_site_fract_x
_atom_site_fract_y
_atom_site_fract_z
Rb1 0.2500 0.2500 0.2500
Ca1 0.0000 0.0000 0.0000
Fe1 0.0000 0.0000 0.5000
```

Values from the calculation:
The value obtained for the energy relative to the lowest polymorph listed for this composition is 0.0 meV per atom. Its calculated volume is 47.1 Å³ per atom. As for the total energy: -2.1234 eV per atom. The density is 2.4 g/cm³. Its calculated formation energy is 0.9764 eV/atom.



No. 4
Nd6PuIn5 | PBE | optimized geometry

Structure (CIF):
```
data_Nd6PuIn5
_cell_length_a 5.2237
_cell_length_b 8.5966
_cell_length_c 15.7121
_cell_angle_alpha 90.00
_cell_angle_beta 90.00
_cell_angle_gamma 90.00
_space_group_name_H-M_alt 'I m m m'
_space_group_IT_number 71
_space_group_name_Hall '-I 2 2'
loop_
_atom_site_label
_atom_site_fract_x
_atom_site_fract_y
_atom_site_fract_z
Nd1 0.0000 0.2377 0.0000
Nd2 0.0000 0.2538 0.3319
Pu1 0.0000 0.0000 0.5000
In1 0.0000 0.0000 0.1698
In2 0.0000 0.5000 0.1561
In3 0.0000 0.5000 0.5000
```

Values from the calculation:
Its calculated volume is 29.4 Å³ per atom. As for the total energy: -5.0841 eV per atom. The density is 7.9 g/cm³. Its calculated formation energy is -0.3649 eV/atom.



No. 5
NbSe3I | PBE | optimized geometry

Structure (CIF):
```
data_NbSe3I
_cell_length_a 5.0904
_cell_length_b 5.0904
_cell_length_c 5.0904
_cell_angle_alpha 90.00
_cell_angle_beta 90.00
_cell_angle_gamma 90.00
_space_group_name_H-M_alt 'P m -3 m'
_space_group_IT_number 221
_space_group_name_Hall '-P 4 2 3'
loop_
_atom_site_label
_atom_site_fract_x
_atom_site_fract_y
_atom_site_fract_z
Nb1 0.0000 0.0000 0.0000
Se1 0.0000 0.0000 0.5000
I1 0.5000 0.5000 0.5000
```

Values from the calculation:
The value obtained for the energy relative to the lowest polymorph listed for this composition is 366.9 meV per atom. Its calculated volume is 26.4 Å³ per atom. Its uncorrected formation energy is -0.061 eV/atom. As for the total energy: -4.4761 eV per atom. The density is 5.7 g/cm³.



No. 6
Ba3PuSb6 | PBE | optimized geometry

Structure (CIF):
```
data_Ba3PuSb6
_cell_length_a 13.5364
_cell_length_b 13.5364
_cell_length_c 13.3819
_cell_angle_alpha 90.00
_cell_angle_beta 90.00
_cell_angle_gamma 120.00
_space_group_name_H-M_alt 'R -3 c'
_space_group_IT_number 167
_space_group_name_Hall '-R 3 2"c'
loop_
_atom_site_label
_atom_site_fract_x
_atom_site_fract_y
_atom_site_fract_z
Ba1 0.0000 0.4320 0.2500
Pu1 0.0000 0.0000 0.0000
Sb1 0.0702 0.2122 0.3439
```

Values from the calculation:
Its calculated volume is 35.4 Å³ per atom. Its uncorrected formation energy is -0.589 eV/atom. As for the total energy: -5.0727 eV per atom. The density is 6.5 g/cm³.